Ti3Tc2Ni (PBE-GGA, relaxed); uncorrected energy = -8.8766 eV per atom; SG = No. 123; DFT formation energy = -510 meV per atom
1.0
3.111 0.000 0.000
0.000 3.111 0.000
0.000 0.000 9.066
Ti Tc Ni
3 2 1
Direct
0.000 0.000 0.000
0.000 0.000 0.667
0.000 0.000 0.333
0.500 0.500 0.826
0.500 0.500 0.174
0.500 0.500 0.500